<i>
Compound: CoSeSBr2
Source: Alexandria via LeMat-Bulk
Functional: PBE
Structure: optimized geometry

Unit cell a=4.977 b=4.977 c=5.122 alpha=90.00 beta=90.00 gamma=90.00
Space group P4/mmm (No. 123)
Inequivalent atoms, fractional coordinates:
Co  0.000  0.000  0.000 [1 per cell]
Se  0.500  0.500  0.000 [1 per cell]
S  0.500  0.500  0.500 [1 per cell]
Br  0.000  0.500  0.500 [2 per cell]

Values from the calculation:
The value obtained for the total moment is 0.482 μB per atom. The value obtained for the density of states at the Fermi level is 2.139 states/eV per atom.

=====

<ii>
Compound: CoSeSBr2
Source: Alexandria via LeMat-Bulk
Functional: PBE
Structure: optimized geometry

Unit cell a=4.803 b=4.803 c=4.733 alpha=90.00 beta=90.00 gamma=90.00
Space group P4/mmm (No. 123)
Inequivalent atoms, fractional coordinates:
Co  0.000  0.000  0.000 [1 per cell]
Se  0.000  0.000  0.500 [1 per cell]
S  0.500  0.500  0.500 [1 per cell]
Br  0.000  0.500  0.000 [2 per cell]

Values from the calculation:
The value obtained for the total moment is 0.124 μB per atom. The value obtained for the density of states at the Fermi level is 1.278 states/eV per atom.

=====

Stability ranking, top and bottom: <ii> is the most stable and <i> is the least stable.